No. 1
DFT (PBE) results for an optimized crystal structure of Y2ZnOs.

## Properties
- Raw total energy: -6.314 eV/atom
- Formation enthalpy at 0 K: 1.01 kcal/mol of atoms

Unit cell a=4.1361 b=4.1361 c=7.6310 alpha=80.67 beta=80.67 gamma=49.32
Fractional coordinates of all 4 atoms:
Y  0.9954  0.9954  0.0337
Y  0.5046  0.5046  0.4663
Os  0.2500  0.2500  0.2500
Zn  0.7500  0.7500  0.7500



No. 2
DFT (PBE) results for an optimized crystal structure of YZn2Os2.

## Properties
- Energy above the most stable polymorph in this dataset: 432 meV per atom
- Raw total energy: -5.781 eV/atom
- Formation enthalpy at 0 K: 11.83 kcal/mol of atoms

Unit cell a=4.7205 b=4.7205 c=4.7829 alpha=90.00 beta=90.00 gamma=90.00
Fractional coordinates of all 5 atoms:
Zn  0.5000  0.0000  0.0000
Zn  0.0000  0.5000  0.0000
Os  0.0000  0.0000  0.5000
Os  0.0000  0.0000  0.0000
Y  0.5000  0.5000  0.5000



no.,total magnetic moment (μB per formula unit)
1,0.00
2,0.00